AcFe2B2 | PBE | relaxed

Cell and atoms, written as CIF:
```
data_AcFe2B2
_chemical_formula_sum 'Ac2 Fe4 B4'
_cell_length_a 3.7240
_cell_length_b 3.7240
_cell_length_c 10.4814
_cell_angle_alpha 90.00
_cell_angle_beta 90.00
_cell_angle_gamma 90.00
_space_group_name_H-M_alt 'I 4/m m m'
_space_group_IT_number 139
_space_group_name_Hall '-I 4 2'
loop_
_atom_site_label
_atom_site_fract_x
_atom_site_fract_y
_atom_site_fract_z
Ac1 0.0000 0.0000 0.0000
Fe1 0.0000 0.5000 0.2500
B1 0.0000 0.0000 0.3198
```

## Properties
Crystal system: tetragonal
Total moment in μB/f.u.: 1.21
Density of states at the Fermi level in states/eV per atom: 0.7707
Formation energy from the elements in meV/atom: -280

NdHoScCu | PBE | relaxed

Cell and atoms, written as CIF:
```
data_NdHoScCu
_chemical_formula_sum 'Nd4 Ho4 Sc4 Cu4'
_cell_length_a 7.3702
_cell_length_b 7.3702
_cell_length_c 7.3702
_cell_angle_alpha 90.00
_cell_angle_beta 90.00
_cell_angle_gamma 90.00
_space_group_name_H-M_alt 'F -4 3 m'
_space_group_IT_number 216
_space_group_name_Hall 'F -4 2 3'
loop_
_atom_site_label
_atom_site_fract_x
_atom_site_fract_y
_atom_site_fract_z
Nd1 0.0000 0.0000 0.0000
Ho1 0.0000 0.0000 0.5000
Sc1 0.2500 0.2500 0.2500
Cu1 0.2500 0.2500 0.7500
```

## Properties
Crystal system: cubic
Total moment in μB/f.u.: 0.00
Density of states at the Fermi level in states/eV per atom: 0.9825
Formation energy from the elements in meV/atom: 137

Q: Which value of formation energy from the elements does entry 2 give?
A: 137 meV/atom

Q: What is the total moment in the first record?
A: 1.21 μB/f.u.